# 1
A relaxed BaTa2Os crystal. Source: the Alexandria database, functional PBEsol.

Lattice parameters (Å, degrees): 3.189 4.756 5.184 90.00 90.00 90.00
Element x y z (fractional)
Os (0.000, 0.500, 0.500)
Ba (0.500, 0.500, 0.000)
Ta (0.000, 0.000, 0.000)
Ta (0.500, 0.000, 0.500)

Values from the calculation:
Its energy relative to the lowest polymorph listed for this composition is 0.3 kJ/mol of atoms. As for the symmetry: Pmmm, No. 47.

***

# 2
A relaxed BaTa2Os crystal. Source: the Alexandria database, functional PBEsol.

Lattice parameters (Å, degrees): 4.811 4.811 4.811 60.00 60.00 60.00
Element x y z (fractional)
Os (0.250, 0.250, 0.250)
Ba (0.500, 0.500, 0.500)
Ta (0.000, 0.000, 0.000)
Ta (0.750, 0.750, 0.750)

Values from the calculation:
Its energy relative to the lowest polymorph listed for this composition is 0.0 kJ/mol of atoms. As for the symmetry: F-43m, No. 216.